Entry 1:
Below is an optimized crystal structure of LiScSe, with properties calculated at the PBE-GGA level.

Cell and atoms, written as CIF:
```
data_LiScSe
_cell_length_a 4.211
_cell_length_b 5.334
_cell_length_c 11.431
_cell_angle_alpha 90.00
_cell_angle_beta 90.00
_cell_angle_gamma 90.00
_space_group_name_H-M_alt 'F m m 2'
_space_group_IT_number 42
_space_group_name_Hall 'F 2 -2'
loop_
_atom_site_label
_atom_site_fract_x
_atom_site_fract_y
_atom_site_fract_z
Li1 0.000 0.000 0.000
Sc1 0.000 0.000 0.719
Se1 0.000 0.000 0.356
```

Summary:
As for the excess energy over the best structure of this formula in the dataset: 189 meV/atom. The magnetic moment comes out at 0.0 μB/f.u. The value obtained for the formation energy (no corrections) is -761 meV per atom.

***

Entry 2:
Below is an optimized crystal structure of Sr2MgReN4, with properties calculated at the PBE-GGA level.

Cell and atoms, written as CIF:
```
data_Sr2MgReN4
_cell_length_a 5.889
_cell_length_b 7.286
_cell_length_c 6.185
_cell_angle_alpha 90.00
_cell_angle_beta 90.00
_cell_angle_gamma 90.00
_space_group_name_H-M_alt 'P m m n'
_space_group_IT_number 59
loop_
_space_group_symop_operation_xyz
'x,y,z'
'-x,-y,-z'
'-x+1/2,-y+1/2,z'
'x+1/2,y+1/2,-z'
'x+1/2,-y,-z'
'-x+1/2,y,z'
'-x,y+1/2,-z'
'x,-y+1/2,z'
loop_
_atom_site_label
_atom_site_fract_x
_atom_site_fract_y
_atom_site_fract_z
Sr1 0.250 0.003 0.240
Mg1 0.250 0.250 0.779
Re1 0.250 0.750 0.797
N1 0.004 0.750 0.987
N2 0.250 0.530 0.648
```

Summary:
The magnetic moment comes out at 0.0 μB/f.u. The value obtained for the formation energy (no corrections) is -715 meV per atom.